This record from the Alexandria database describes crystalline KBa2SrAg at its relaxed geometry. The functional is PBE.

Results
energy of formation from the pure elements = 29 meV per atom
polymorph energy (0 for the lowest one) = 0.091 eV/atom

Cell and atoms, written as CIF:
```
data_KBa2SrAg
_chemical_formula_sum 'K1 Ba2 Sr1 Ag1'
_cell_length_a 6.598
_cell_length_b 6.598
_cell_length_c 6.575
_cell_angle_alpha 90.00
_cell_angle_beta 90.00
_cell_angle_gamma 90.00
_symmetry_space_group_name_H-M 'P 1'
_symmetry_Int_Tables_number 1
_symmetry_space_group_name_Hall 'P 1'
loop_
_atom_site_label
_atom_site_type_symbol
_atom_site_fract_x
_atom_site_fract_y
_atom_site_fract_z
Sr1 Sr 0.500 0.500 0.500
Ba1 Ba 0.000 0.500 0.000
Ba2 Ba 0.500 0.000 0.000
K1 K 0.000 0.000 0.500
Ag1 Ag 0.000 0.000 0.000
```

=====

This record from the Alexandria database describes crystalline Nd2ErSi3Rh4 at its relaxed geometry. The functional is PBE.

Results
raw total energy = -69.59 eV/cell

Cell and atoms, written as CIF:
```
data_Nd2ErSi3Rh4
_chemical_formula_sum 'Nd2 Er1 Si3 Rh4'
_cell_length_a 4.156
_cell_length_b 4.156
_cell_length_c 10.842
_cell_angle_alpha 90.00
_cell_angle_beta 90.00
_cell_angle_gamma 90.00
_symmetry_space_group_name_H-M 'P 1'
_symmetry_Int_Tables_number 1
_symmetry_space_group_name_Hall 'P 1'
loop_
_atom_site_label
_atom_site_type_symbol
_atom_site_fract_x
_atom_site_fract_y
_atom_site_fract_z
Rh1 Rh 0.500 0.500 0.000
Rh2 Rh 0.000 0.000 0.000
Rh3 Rh 0.000 0.500 0.341
Rh4 Rh 0.500 0.000 0.659
Nd1 Nd 0.000 0.500 0.767
Nd2 Nd 0.500 0.000 0.233
Si1 Si 0.000 0.000 0.500
Si2 Si 0.500 0.000 0.882
Si3 Si 0.000 0.500 0.118
Er1 Er 0.500 0.500 0.500
```

=====

This record from the Alexandria database describes crystalline AlTe2Rh at its relaxed geometry. The functional is PBE.

Results
raw total energy = -18.28 eV/cell

Cell and atoms, written as CIF:
```
data_AlTe2Rh
_chemical_formula_sum 'Al1 Te2 Rh1'
_cell_length_a 3.401
_cell_length_b 3.401
_cell_length_c 8.037
_cell_angle_alpha 90.00
_cell_angle_beta 90.00
_cell_angle_gamma 90.00
_symmetry_space_group_name_H-M 'P 1'
_symmetry_Int_Tables_number 1
_symmetry_space_group_name_Hall 'P 1'
loop_
_atom_site_label
_atom_site_type_symbol
_atom_site_fract_x
_atom_site_fract_y
_atom_site_fract_z
Rh1 Rh 0.500 0.500 0.681
Te1 Te 0.000 0.000 0.911
Te2 Te 0.500 0.500 0.346
Al1 Al 0.000 0.000 0.563
```

=====

This record from the Alexandria database describes crystalline CeThCo2H8 at its relaxed geometry. The functional is PBE.

Results
raw total energy = -58.10 eV/cell

Cell and atoms, written as CIF:
```
data_CeThCo2H8
_chemical_formula_sum 'Ce1 Th1 Co2 H8'
_cell_length_a 4.474
_cell_length_b 4.474
_cell_length_c 6.736
_cell_angle_alpha 70.60
_cell_angle_beta 70.60
_cell_angle_gamma 60.00
_symmetry_space_group_name_H-M 'P 1'
_symmetry_Int_Tables_number 1
_symmetry_space_group_name_Hall 'P 1'
loop_
_atom_site_label
_atom_site_type_symbol
_atom_site_fract_x
_atom_site_fract_y
_atom_site_fract_z
Co1 Co 0.233 0.233 0.301
Co2 Co 0.767 0.767 0.699
H1 H 0.143 0.143 0.571
H2 H 0.545 0.081 0.829
H3 H 0.455 0.455 0.171
H4 H 0.455 0.919 0.171
H5 H 0.919 0.455 0.171
H6 H 0.857 0.857 0.429
H7 H 0.081 0.545 0.829
H8 H 0.545 0.545 0.829
Th1 Th 0.000 0.000 0.000
Ce1 Ce 0.500 0.500 0.500
```

=====

This record from the Alexandria database describes crystalline Ba2TaPt at its relaxed geometry. The functional is PBE.

Results
energy of formation from the pure elements = 131 meV per atom
polymorph energy (0 for the lowest one) = 0.071 eV/atom

Cell and atoms, written as CIF:
```
data_Ba2TaPt
_chemical_formula_sum 'Ba2 Ta1 Pt1'
_cell_length_a 4.124
_cell_length_b 5.382
_cell_length_c 6.772
_cell_angle_alpha 66.63
_cell_angle_beta 90.00
_cell_angle_gamma 90.00
_symmetry_space_group_name_H-M 'P 1'
_symmetry_Int_Tables_number 1
_symmetry_space_group_name_Hall 'P 1'
loop_
_atom_site_label
_atom_site_type_symbol
_atom_site_fract_x
_atom_site_fract_y
_atom_site_fract_z
Ba1 Ba 0.500 0.265 0.344
Ba2 Ba 0.000 0.976 0.923
Ta1 Ta 0.500 0.573 0.728
Pt1 Pt 0.000 0.685 0.505
```

=====

This record from the Alexandria database describes crystalline MoOs2W2 at its relaxed geometry. The functional is PBE.

Results
energy of formation from the pure elements = 722 meV per atom
polymorph energy (0 for the lowest one) = 0.459 eV/atom

Cell and atoms, written as CIF:
```
data_MoOs2W2
_chemical_formula_sum 'Mo1 Os2 W2'
_cell_length_a 4.029
_cell_length_b 4.029
_cell_length_c 6.188
_cell_angle_alpha 71.00
_cell_angle_beta 71.00
_cell_angle_gamma 90.00
_symmetry_space_group_name_H-M 'P 1'
_symmetry_Int_Tables_number 1
_symmetry_space_group_name_Hall 'P 1'
loop_
_atom_site_label
_atom_site_type_symbol
_atom_site_fract_x
_atom_site_fract_y
_atom_site_fract_z
Os1 Os 0.391 0.391 0.219
Os2 Os 0.609 0.609 0.781
Mo1 Mo 0.000 0.000 0.000
W1 W 0.250 0.750 0.500
W2 W 0.750 0.250 0.500
```

=====

This record from the Alexandria database describes crystalline Tl2InIr at its relaxed geometry. The functional is PBE.

Results
energy of formation from the pure elements = 374 meV per atom
polymorph energy (0 for the lowest one) = 0.284 eV/atom

Cell and atoms, written as CIF:
```
data_Tl2InIr
_chemical_formula_sum 'Tl2 In1 Ir1'
_cell_length_a 10.489
_cell_length_b 10.489
_cell_length_c 10.489
_cell_angle_alpha 17.94
_cell_angle_beta 17.94
_cell_angle_gamma 17.94
_symmetry_space_group_name_H-M 'P 1'
_symmetry_Int_Tables_number 1
_symmetry_space_group_name_Hall 'P 1'
loop_
_atom_site_label
_atom_site_type_symbol
_atom_site_fract_x
_atom_site_fract_y
_atom_site_fract_z
Ir1 Ir 0.750 0.750 0.750
In1 In 0.250 0.250 0.250
Tl1 Tl 0.013 0.013 0.013
Tl2 Tl 0.487 0.487 0.487
```

=====

This record from the Alexandria database describes crystalline CeSiAg at its relaxed geometry. The functional is PBE.

Results
raw total energy = -15.42 eV/cell

Cell and atoms, written as CIF:
```
data_CeSiAg
_chemical_formula_sum 'Ce1 Si1 Ag1'
_cell_length_a 4.034
_cell_length_b 4.375
_cell_length_c 4.375
_cell_angle_alpha 120.00
_cell_angle_beta 90.00
_cell_angle_gamma 90.00
_symmetry_space_group_name_H-M 'P 1'
_symmetry_Int_Tables_number 1
_symmetry_space_group_name_Hall 'P 1'
loop_
_atom_site_label
_atom_site_type_symbol
_atom_site_fract_x
_atom_site_fract_y
_atom_site_fract_z
Si1 Si 0.168 0.333 0.667
Ce1 Ce 0.666 0.667 0.333
Ag1 Ag 0.166 0.000 0.000
```

=====

This record from the Alexandria database describes crystalline La3TlN at its relaxed geometry. The functional is PBE.

Results
raw total energy = -115.69 eV/cell

Cell and atoms, written as CIF:
```
data_La3TlN
_chemical_formula_sum 'La12 Tl4 N4'
_cell_length_a 16.162
_cell_length_b 7.366
_cell_length_c 7.796
_cell_angle_alpha 90.00
_cell_angle_beta 142.89
_cell_angle_gamma 90.00
_symmetry_space_group_name_H-M 'P 1'
_symmetry_Int_Tables_number 1
_symmetry_space_group_name_Hall 'P 1'
loop_
_atom_site_label
_atom_site_type_symbol
_atom_site_fract_x
_atom_site_fract_y
_atom_site_fract_z
La1 La 0.219 0.250 0.618
La2 La 0.926 0.521 0.180
La3 La 0.281 0.750 0.882
La4 La 0.074 0.021 0.819
La5 La 0.574 0.479 0.319
La6 La 0.426 0.979 0.680
La7 La 0.574 0.021 0.320
La8 La 0.074 0.479 0.820
La9 La 0.926 0.979 0.181
La10 La 0.781 0.750 0.382
La11 La 0.426 0.521 0.681
La12 La 0.719 0.250 0.118
Tl1 Tl 0.129 0.750 0.248
Tl2 Tl 0.871 0.250 0.752
Tl3 Tl 0.629 0.750 0.748
Tl4 Tl 0.371 0.250 0.252
N1 N 0.025 0.750 0.582
N2 N 0.475 0.250 0.918
N3 N 0.975 0.250 0.418
N4 N 0.525 0.750 0.082
```

=====

This record from the Alexandria database describes crystalline PrMnSn2 at its relaxed geometry. The functional is PBE.

Results
energy of formation from the pure elements = -325 meV per atom

Cell and atoms, written as CIF:
```
data_PrMnSn2
_chemical_formula_sum 'Pr1 Mn1 Sn2'
_cell_length_a 4.530
_cell_length_b 4.530
_cell_length_c 6.204
_cell_angle_alpha 68.58
_cell_angle_beta 68.58
_cell_angle_gamma 60.00
_symmetry_space_group_name_H-M 'P 1'
_symmetry_Int_Tables_number 1
_symmetry_space_group_name_Hall 'P 1'
loop_
_atom_site_label
_atom_site_type_symbol
_atom_site_fract_x
_atom_site_fract_y
_atom_site_fract_z
Mn1 Mn 0.000 0.000 0.000
Sn1 Sn 0.723 0.723 0.831
Sn2 Sn 0.277 0.277 0.169
Pr1 Pr 0.500 0.500 0.500
```

=====

This record from the Alexandria database describes crystalline AlInTc2 at its relaxed geometry. The functional is PBE.

Results
energy of formation from the pure elements = 80 meV per atom
polymorph energy (0 for the lowest one) = 0.137 eV/atom

Cell and atoms, written as CIF:
```
data_AlInTc2
_chemical_formula_sum 'Al1 In1 Tc2'
_cell_length_a 5.332
_cell_length_b 5.332
_cell_length_c 5.332
_cell_angle_alpha 145.66
_cell_angle_beta 130.57
_cell_angle_gamma 61.57
_symmetry_space_group_name_H-M 'P 1'
_symmetry_Int_Tables_number 1
_symmetry_space_group_name_Hall 'P 1'
loop_
_atom_site_label
_atom_site_type_symbol
_atom_site_fract_x
_atom_site_fract_y
_atom_site_fract_z
In1 In 0.247 0.747 0.500
Tc1 Tc 0.750 0.250 0.500
Tc2 Tc 0.985 0.985 0.000
Al1 Al 0.518 0.518 0.000
```

=====

This record from the Alexandria database describes crystalline In2TcMo at its relaxed geometry. The functional is PBE.

Results
energy of formation from the pure elements = 341 meV per atom
polymorph energy (0 for the lowest one) = 0.191 eV/atom

Cell and atoms, written as CIF:
```
data_In2TcMo
_chemical_formula_sum 'In2 Tc1 Mo1'
_cell_length_a 5.518
_cell_length_b 5.518
_cell_length_c 5.518
_cell_angle_alpha 144.96
_cell_angle_beta 129.49
_cell_angle_gamma 62.95
_symmetry_space_group_name_H-M 'P 1'
_symmetry_Int_Tables_number 1
_symmetry_space_group_name_Hall 'P 1'
loop_
_atom_site_label
_atom_site_type_symbol
_atom_site_fract_x
_atom_site_fract_y
_atom_site_fract_z
Mo1 Mo 0.477 0.477 0.000
Tc1 Tc 0.270 0.770 0.500
In1 In 0.015 0.015 0.000
In2 In 0.738 0.238 0.500
```